Compound: Rb3Cd2O
Source: Alexandria
Functional: PBE
Structure: relaxed

Output
ΔE_f (raw) = -37.94 kJ per mole of atoms
E = -2.008 eV per atom
ρ = 3.2 g/cm3
space-group type = P6_3/mmc, No. 194
total magnetization = 0.0 μB per formula unit

a = 9.018 Å, b = 9.018 Å, c = 7.409 Å
α = 90.00°, β = 90.00°, γ = 120.00°
Atoms (fractional coordinates):
Rb: 0.131 0.261 0.250
Rb: 0.131 0.869 0.250
Rb: 0.261 0.131 0.750
Rb: 0.739 0.869 0.250
Rb: 0.869 0.131 0.750
Rb: 0.869 0.739 0.750
Cd: 0.333 0.667 0.545
Cd: 0.333 0.667 0.955
Cd: 0.667 0.333 0.045
Cd: 0.667 0.333 0.455
O: 0.000 0.000 0.000
O: 0.000 0.000 0.500